(1)
A plane-wave DFT calculation with PBE was carried out for a relaxed structure of TlICl.

Cell lengths 4.583, 4.616, 11.526 Å; angles 89.40, 101.47, 90.00 degrees
Fractional positions:
Tl  0.171  0.259  0.341
Tl  0.829  0.741  0.659
I  0.559  0.908  0.117
I  0.441  0.092  0.883
Cl  0.691  0.749  0.382
Cl  0.309  0.251  0.618

Calculated values
Its space group is C2/m. As for the density: 5.10 Mg/m³. The raw total energy is -15.53 eV/cell. The value obtained for the offset from the most stable computed form is 0.0 kJ/mol of atoms. As for the crystal system: monoclinic. The total magnetization comes out at 0.00 μB per cell. The density of states at the Fermi level is 0.00 states/eV/cell.

(2)
A plane-wave DFT calculation with PBE was carried out for a relaxed structure of CdSeBr.

Cell lengths 3.767, 3.767, 7.398 Å; angles 90.00, 90.00, 120.00 degrees
Fractional positions:
Se  0.333  0.667  0.572
Cd  0.667  0.333  0.333
Br  0.000  0.000  0.095

Calculated values
Its space group is P3m1. As for the density: 4.96 Mg/m³. The raw total energy is -6.97 eV/cell. The value obtained for the offset from the most stable computed form is 24.6 kJ/mol of atoms. As for the crystal system: trigonal. The total magnetization comes out at 0.00 μB per cell. The density of states at the Fermi level is 1.99 states/eV/cell.

(3)
A plane-wave DFT calculation with PBE was carried out for a relaxed structure of RbPdN2.

Cell lengths 7.437, 7.437, 7.437 Å; angles 32.38, 32.38, 32.38 degrees
Fractional positions:
Rb  0.500  0.500  0.500
Pd  0.000  0.000  0.000
N  0.916  0.916  0.916
N  0.084  0.084  0.084

Calculated values
Its space group is R-3m. As for the density: 3.48 Mg/m³. The raw total energy is -17.34 eV/cell. The value obtained for the offset from the most stable computed form is 124.6 kJ/mol of atoms. As for the crystal system: trigonal. The total magnetization comes out at 0.00 μB per cell. The density of states at the Fermi level is 1.94 states/eV/cell.

(4)
A plane-wave DFT calculation with PBE was carried out for a relaxed structure of Ba3AcTe4.

Cell lengths 4.910, 8.528, 8.528 Å; angles 109.32, 90.00, 90.00 degrees
Fractional positions:
Te  0.500  0.243  0.757
Te  0.500  0.757  0.243
Te  0.000  0.239  0.239
Te  0.000  0.761  0.761
Ba  0.500  0.500  0.500
Ba  0.000  0.000  0.500
Ba  0.000  0.500  0.000
Ac  0.500  0.000  0.000

Calculated values
Its space group is Cmmm. As for the density: 5.66 Mg/m³. The raw total energy is -36.13 eV/cell. As for the crystal system: orthorhombic. The total magnetization comes out at 0.00 μB per cell. The density of states at the Fermi level is 2.87 states/eV/cell.

(5)
A plane-wave DFT calculation with PBE was carried out for a relaxed structure of Ti3PbC.

Cell lengths 3.195, 8.603, 7.000 Å; angles 119.96, 90.00, 90.00 degrees
Fractional positions:
Ti  0.250  0.107  0.231
Ti  0.250  0.591  0.422
Ti  0.750  0.854  0.343
Ti  0.750  0.893  0.769
Ti  0.250  0.146  0.657
Ti  0.750  0.409  0.578
C  0.250  0.872  0.558
C  0.750  0.128  0.442
Pb  0.250  0.687  0.936
Pb  0.750  0.313  0.064

Calculated values
The calculation puts the formation energy at -0.393 eV/atom. Its space group is P2_1/m. As for the density: 7.23 Mg/m³. The raw total energy is -77.16 eV/cell. As for the crystal system: monoclinic. The total magnetization comes out at 0.00 μB per cell. The density of states at the Fermi level is 8.35 states/eV/cell.

(6)
A plane-wave DFT calculation with PBE was carried out for a relaxed structure of AcCeReN4.

Cell lengths 5.523, 5.578, 7.087 Å; angles 90.00, 112.93, 90.00 degrees
Fractional positions:
Ac  0.603  0.750  0.206
Ac  0.397  0.250  0.794
N  0.588  0.250  0.176
N  0.000  0.500  0.500
N  0.500  0.000  0.500
N  0.000  0.000  0.500
N  0.412  0.750  0.824
N  0.933  0.250  0.866
N  0.067  0.750  0.134
N  0.500  0.500  0.500
Ce  0.101  0.250  0.203
Ce  0.899  0.750  0.797
Re  0.743  0.250  0.486
Re  0.257  0.750  0.514

Calculated values
Its space group is Cmcm. As for the density: 10.06 Mg/m³. The raw total energy is -124.61 eV/cell. As for the crystal system: orthorhombic. The total magnetization comes out at 0.08 μB per cell. The density of states at the Fermi level is 7.66 states/eV/cell.

Question: Look up the total magnetization of the second one.
Answer: 0.00 μB per cell

Question: density of number 5 (Ti3PbC)?
Answer: 7.23 Mg/m³

Question: raw total energy of number 6 (AcCeReN4)?
Answer: -124.61 eV/cell